Entry 1:
{
  "formula": "Pr2Tl3InSe6",
  "functional": "GGA-PBE",
  "state": "optimized geometry",
  "lattice_angstrom": [[7.4036, 0.0054, -0.0045], [-3.6953, 6.4155, -0.0045], [-1.2414, -2.1495, 7.7682]],
  "species": ["Pr", "Pr", "Tl", "Tl", "Tl", "In", "Se", "Se", "Se", "Se", "Se", "Se"],
  "fractional_positions": [[0.3343, 0.6657, 0.0000], [0.6657, 0.3343, 0.0000], [0.1717, 0.8283, 0.5000], [0.8283, 0.1717, 0.5000], [0.5000, 0.5000, 0.5000], [0.0000, 0.0000, 0.0000], [0.9313, 0.6153, 0.7942], [0.7525, 0.7525, 0.2145], [0.0687, 0.3847, 0.2058], [0.6153, 0.9313, 0.7942], [0.2475, 0.2475, 0.7855], [0.3847, 0.0687, 0.2058]],
  "spacegroup": "C2/m (12)",
  "magmom_total_mub_per_fu": 0.00,
  "energy_ev_per_atom": -4.407,
  "crystal_system": "monoclinic",
  "e_form_raw_ev_per_atom": -1.048
}

---

Entry 2:
{
  "formula": "YTlIn2H",
  "functional": "GGA-PBE",
  "state": "optimized geometry",
  "lattice_angstrom": [[-2.5544, -1.2273, -3.9188], [0.8354, -4.6739, 0.9193], [-3.8159, -0.1816, 2.5442]],
  "species": ["Y", "H", "Tl", "In", "In"],
  "fractional_positions": [[0.0000, 0.0000, 0.5000], [0.0000, 0.0000, 0.0000], [0.5000, 0.5000, 0.5000], [0.0000, 0.5000, 0.0000], [0.5000, 0.0000, 0.0000]],
  "dos_at_fermi_per_ev_fu": 1.58,
  "spacegroup": "P4/mmm (123)",
  "magmom_total_mub_per_fu": 0.00,
  "energy_ev_per_atom": -3.686,
  "crystal_system": "tetragonal"
}

---

Entry 3:
{
  "formula": "LuZrGaFe",
  "functional": "GGA-PBE",
  "state": "optimized geometry",
  "lattice_angstrom": [[-1.2646, -4.3401, -1.3853], [-0.8040, -3.3686, 3.2189], [-4.4058, -1.5357, 0.7648]],
  "species": ["Lu", "Ga", "Zr", "Fe"],
  "fractional_positions": [[0.0000, 0.0000, 0.0000], [0.2500, 0.2500, 0.2500], [0.5000, 0.5000, 0.5000], [0.7500, 0.7500, 0.7500]],
  "dos_at_fermi_per_ev_fu": 2.56,
  "spacegroup": "F-43m (216)",
  "magmom_total_mub_per_fu": 0.82,
  "energy_ev_per_atom": -6.394,
  "crystal_system": "cubic"
}

---

Entry 4:
{
  "formula": "SrSm2In9",
  "functional": "GGA-PBE",
  "state": "optimized geometry",
  "lattice_angstrom": [[-2.5163, -2.8500, 2.8326], [-0.6169, -3.0286, -3.5952], [11.9335, -6.8425, 3.7164]],
  "species": ["Sr", "Sm", "Sm", "In", "In", "In", "In", "In", "In", "In", "In", "In"],
  "fractional_positions": [[0.0000, 0.0000, 0.0000], [0.0000, 0.0000, 0.3390], [0.0000, 0.0000, 0.6610], [0.5000, 0.5000, 0.0000], [0.5000, 0.5000, 0.3351], [0.5000, 0.5000, 0.6649], [0.5000, 0.0000, 0.1727], [0.5000, 0.0000, 0.5000], [0.5000, 0.0000, 0.8273], [0.0000, 0.5000, 0.1727], [0.0000, 0.5000, 0.5000], [0.0000, 0.5000, 0.8273]],
  "dos_at_fermi_per_ev_fu": 5.30,
  "spacegroup": "P4/mmm (123)",
  "magmom_total_mub_per_fu": 0.00,
  "energy_ev_per_atom": -3.383,
  "crystal_system": "tetragonal"
}

---

Entry 5:
{
  "formula": "ScPaNb2N4",
  "functional": "GGA-PBE",
  "state": "optimized geometry",
  "lattice_angstrom": [[-2.5631, 1.8634, 0.7893], [-3.3906, -3.3829, -3.0241], [0.2406, -1.8718, 5.2006]],
  "species": ["Sc", "Pa", "Nb", "Nb", "N", "N", "N", "N"],
  "fractional_positions": [[0.5000, 0.5000, 0.0000], [0.0000, 0.0000, 0.0000], [0.5000, 0.0000, 0.5000], [0.0000, 0.5000, 0.5000], [0.5000, 0.2684, 0.2608], [0.5000, 0.7316, 0.7392], [0.0000, 0.2599, 0.7488], [0.0000, 0.7401, 0.2512]],
  "dos_at_fermi_per_ev_fu": 2.88,
  "spacegroup": "P2/m (10)",
  "magmom_total_mub_per_fu": 0.00,
  "energy_ev_per_atom": -10.079,
  "crystal_system": "monoclinic",
  "e_form_raw_ev_per_atom": -1.421
}

---

Entry 6:
{
  "formula": "TlAu",
  "functional": "GGA-PBE",
  "state": "optimized geometry",
  "lattice_angstrom": [[5.7285, 0.0034, 0.0162], [4.0564, 5.2742, 0.0103], [0.9601, 0.3081, 3.1762]],
  "species": ["Tl", "Tl", "Au", "Au"],
  "fractional_positions": [[0.5782, 0.4759, 0.4729], [0.3385, 0.1074, 0.2771], [0.9795, 0.9618, 0.0293], [0.9371, 0.6216, 0.7207]],
  "dos_at_fermi_per_ev_fu": 0.55,
  "spacegroup": "C2/m (12)",
  "magmom_total_mub_per_fu": 0.00,
  "energy_ev_per_atom": -2.796,
  "crystal_system": "monoclinic"
}

---

Entry 7:
{
  "formula": "LaPmTe2",
  "functional": "GGA-PBE",
  "state": "optimized geometry",
  "lattice_angstrom": [[-1.0612, -3.9036, -1.8177], [2.2816, 0.1292, 3.8008], [-13.1764, -0.1029, 7.9134]],
  "species": ["La", "La", "Pm", "Pm", "Te", "Te", "Te", "Te"],
  "fractional_positions": [[0.6667, 0.3333, 0.2500], [0.3333, 0.6667, 0.7500], [0.0000, 0.0000, 0.5000], [0.0000, 0.0000, 0.0000], [0.3333, 0.6667, 0.3797], [0.6667, 0.3333, 0.8797], [0.6667, 0.3333, 0.6203], [0.3333, 0.6667, 0.1203]],
  "dos_at_fermi_per_ev_fu": 2.33,
  "spacegroup": "P6_3/mmc (194)",
  "magmom_total_mub_per_fu": 0.00,
  "energy_ev_per_atom": -5.478,
  "crystal_system": "hexagonal",
  "e_form_raw_ev_per_atom": -1.488
}

---

Entry 8:
{
  "formula": "B2CS",
  "functional": "GGA-PBE",
  "state": "optimized geometry",
  "lattice_angstrom": [[-2.0199, 1.1396, -4.5698], [-2.4539, 0.1468, 1.1213], [1.2883, 5.3045, 2.1251]],
  "species": ["S", "S", "B", "B", "B", "B", "C", "C"],
  "fractional_positions": [[0.6452, 0.0000, 0.7001], [0.6452, 0.5000, 0.2001], [0.1578, 0.0000, 0.2613], [0.1578, 0.5000, 0.7613], [0.2595, 0.0000, 0.5747], [0.2595, 0.5000, 0.0747], [0.8448, 0.0000, 0.2063], [0.8448, 0.5000, 0.7063]],
  "dos_at_fermi_per_ev_fu": 0.85,
  "spacegroup": "Cm (8)",
  "magmom_total_mub_per_fu": 0.00,
  "energy_ev_per_atom": -5.913,
  "crystal_system": "monoclinic",
  "e_form_raw_ev_per_atom": 0.764
}

---

Entry 9:
{
  "formula": "Rb2NaPaS4",
  "functional": "GGA-PBE",
  "state": "optimized geometry",
  "lattice_angstrom": [[-0.3945, 4.0619, 1.0459], [-6.5628, -1.3331, 2.7024], [5.2548, -1.0028, 5.8767]],
  "species": ["Rb", "Rb", "Na", "Pa", "S", "S", "S", "S"],
  "fractional_positions": [[0.5000, 0.0000, 0.5000], [0.0000, 0.5000, 0.5000], [0.5000, 0.5000, 0.0000], [0.0000, 0.0000, 0.0000], [0.5000, 0.2070, 0.1893], [0.5000, 0.7930, 0.8107], [0.0000, 0.2292, 0.8083], [0.0000, 0.7708, 0.1917]],
  "dos_at_fermi_per_ev_fu": 0.00,
  "spacegroup": "P2/m (10)",
  "magmom_total_mub_per_fu": 0.00,
  "energy_ev_per_atom": -5.104,
  "crystal_system": "monoclinic",
  "e_form_raw_ev_per_atom": -1.447
}

---

Entry 10:
{
  "formula": "TmAlTeO6",
  "functional": "GGA-PBE",
  "state": "optimized geometry",
  "lattice_angstrom": [[5.0529, 0.0000, 0.0000], [-2.5265, 4.3760, 0.0000], [0.0000, 0.0000, 9.6962]],
  "species": ["Tm", "Tm", "Al", "Al", "Te", "Te", "O", "O", "O", "O", "O", "O", "O", "O", "O", "O", "O", "O"],
  "fractional_positions": [[0.0000, 0.0000, 0.0000], [0.0000, 0.0000, 0.5000], [0.6667, 0.3333, 0.2500], [0.3333, 0.6667, 0.7500], [0.3333, 0.6667, 0.2500], [0.6667, 0.3333, 0.7500], [0.6395, 0.6363, 0.1400], [0.9968, 0.3605, 0.1400], [0.3605, 0.9968, 0.6400], [0.0032, 0.6395, 0.8600], [0.3637, 0.3605, 0.3600], [0.9968, 0.6363, 0.3600], [0.6363, 0.9968, 0.8600], [0.6395, 0.0032, 0.3600], [0.0032, 0.3637, 0.6400], [0.3637, 0.0032, 0.1400], [0.6363, 0.6395, 0.6400], [0.3605, 0.3637, 0.8600]],
  "dos_at_fermi_per_ev_fu": 0.00,
  "spacegroup": "P-31c (163)",
  "magmom_total_mub_per_fu": 0.00,
  "energy_ev_per_atom": -6.946,
  "crystal_system": "trigonal",
  "e_form_raw_ev_per_atom": -2.379
}

---

Entry 11:
{
  "formula": "Er6CSe3N2",
  "functional": "GGA-PBE",
  "state": "optimized geometry",
  "lattice_angstrom": [[-1.1506, -5.6940, -2.5425], [0.7205, 0.5853, 6.2728], [-6.2027, 2.6970, -0.6045]],
  "species": ["Er", "Er", "Er", "Er", "Er", "Er", "C", "Se", "Se", "Se", "N", "N"],
  "fractional_positions": [[0.9332, 0.5998, 0.7996], [0.7330, 0.7330, 0.2000], [0.0668, 0.4002, 0.2004], [0.5998, 0.9332, 0.7996], [0.2670, 0.2670, 0.8000], [0.4002, 0.0668, 0.2004], [0.0000, 0.0000, 0.0000], [0.1663, 0.8337, 0.5000], [0.8337, 0.1663, 0.5000], [0.5000, 0.5000, 0.5000], [0.3334, 0.6666, 0.0000], [0.6666, 0.3334, 0.0000]],
  "dos_at_fermi_per_ev_fu": 2.35,
  "spacegroup": "C2/m (12)",
  "magmom_total_mub_per_fu": 0.00,
  "energy_ev_per_atom": -6.869,
  "crystal_system": "monoclinic",
  "e_form_raw_ev_per_atom": -1.560
}

---

Entry 12:
{
  "formula": "FeSb3Br",
  "functional": "GGA-PBE",
  "state": "optimized geometry",
  "lattice_angstrom": [[-2.9692, -0.7588, 4.5020], [-3.8491, -2.4721, -2.9552], [2.4553, -4.7930, 0.8115]],
  "species": ["Sb", "Sb", "Sb", "Fe", "Br"],
  "fractional_positions": [[0.0000, 0.5000, 0.0000], [0.0000, 0.0000, 0.5000], [0.5000, 0.0000, 0.0000], [0.5000, 0.5000, 0.5000], [0.0000, 0.0000, 0.0000]],
  "dos_at_fermi_per_ev_fu": 6.59,
  "spacegroup": "Pm-3m (221)",
  "magmom_total_mub_per_fu": 3.64,
  "energy_ev_per_atom": -3.064,
  "crystal_system": "cubic",
  "e_form_raw_ev_per_atom": 1.436
}

---

Repeat the sixth record exactly.
{
  "formula": "TlAu",
  "functional": "GGA-PBE",
  "state": "optimized geometry",
  "lattice_angstrom": [[5.7285, 0.0034, 0.0162], [4.0564, 5.2742, 0.0103], [0.9601, 0.3081, 3.1762]],
  "species": ["Tl", "Tl", "Au", "Au"],
  "fractional_positions": [[0.5782, 0.4759, 0.4729], [0.3385, 0.1074, 0.2771], [0.9795, 0.9618, 0.0293], [0.9371, 0.6216, 0.7207]],
  "dos_at_fermi_per_ev_fu": 0.55,
  "spacegroup": "C2/m (12)",
  "magmom_total_mub_per_fu": 0.00,
  "energy_ev_per_atom": -2.796,
  "crystal_system": "monoclinic"
}

---

Please write out number 8 again, unchanged.
{
  "formula": "B2CS",
  "functional": "GGA-PBE",
  "state": "optimized geometry",
  "lattice_angstrom": [[-2.0199, 1.1396, -4.5698], [-2.4539, 0.1468, 1.1213], [1.2883, 5.3045, 2.1251]],
  "species": ["S", "S", "B", "B", "B", "B", "C", "C"],
  "fractional_positions": [[0.6452, 0.0000, 0.7001], [0.6452, 0.5000, 0.2001], [0.1578, 0.0000, 0.2613], [0.1578, 0.5000, 0.7613], [0.2595, 0.0000, 0.5747], [0.2595, 0.5000, 0.0747], [0.8448, 0.0000, 0.2063], [0.8448, 0.5000, 0.7063]],
  "dos_at_fermi_per_ev_fu": 0.85,
  "spacegroup": "Cm (8)",
  "magmom_total_mub_per_fu": 0.00,
  "energy_ev_per_atom": -5.913,
  "crystal_system": "monoclinic",
  "e_form_raw_ev_per_atom": 0.764
}